Here is a geometry-optimized NdYHoTm2 structure from Alexandria via LeMat-Bulk. Energies are from PBE.

```
10
Lattice="7.195 0.000 0.000 0.000 8.354 0.000 0.000 -4.177 5.716" Properties=species:S:1:pos:R:3 pbc="T T T"
Nd 1.799 4.177 2.593
Nd 5.396 0.000 3.124
Tm 0.000 5.749 0.000
Tm 3.597 2.605 0.000
Tm 0.000 2.605 0.000
Tm 3.597 5.749 0.000
Y 5.396 4.177 5.705
Y 1.799 0.000 0.011
Ho 1.799 0.000 3.209
Ho 5.396 4.177 2.507
```

Calculated values
total moment = 0.00 μB/cell
formation energy from the elements = 0.3881 eV per atom
space group = Cmcm, No. 63